No. 1
A plane-wave DFT calculation with GGA-PBE was carried out for a relaxed structure of MgSb5.

Calculated values
- magnetic moment (μB per atom) = 0.0000
- D(E_F) (states/eV/cell) = 7.5
- total DFT energy (no corrections) (eV/atom) = -3.611
- excess energy over the best structure of this formula in the dataset (eV/atom) = 0.041

Cell: 4.1388 19.0720 4.3219 Å, 90.00 90.00 90.00°
Closest atoms and distances in Å follow each position.
Space group Cmmm (No. 65)
Symmetry-distinct sites (fractional):
Mg (0.0000, 0.0000, 0.0000)  8 Sb 2.99-3.19
Sb (0.0000, 0.1907, 0.5000)  6 Sb 3.07-3.23
Sb (0.0000, 0.3728, 0.0000)  2 Mg 3.19, 6 Sb 3.23-3.25
Sb (0.0000, 0.5000, 0.5000)  4 Mg 2.99, 4 Sb 3.25

***

No. 2
A plane-wave DFT calculation with GGA-PBE was carried out for a relaxed structure of H2SeI.

Calculated values
- magnetic moment (μB per atom) = 0.0001
- D(E_F) (states/eV/cell) = 15.0
- total DFT energy (no corrections) (eV/atom) = -2.675
- excess energy over the best structure of this formula in the dataset (eV/atom) = 0.233

Cell: 5.8236 5.8236 8.3034 Å, 90.00 90.00 90.00°
Closest atoms and distances in Å follow each position.
Space group I4_1/amd (No. 141, origin choice 2)
Symmetry-distinct sites (fractional):
H (0.0000, 0.0000, 0.0000)  2 Se 1.79
Se (0.0000, 0.2500, 0.8750)  4 H 1.79
I (0.0000, 0.2500, 0.3750)  12 H 3.42-3.44, 4 Se 3.58, 4 I 3.58

***

No. 3
A plane-wave DFT calculation with GGA-PBE was carried out for a relaxed structure of Co6Ni2Pt.

Calculated values
- magnetic moment (μB per atom) = 1.3677
- D(E_F) (states/eV/cell) = 31.1
- formation energy (meV per atom) = 47
- total DFT energy (no corrections) (eV/atom) = -6.646
- excess energy over the best structure of this formula in the dataset (eV/atom) = 0.000

Cell: 6.9831 6.9831 7.4915 Å, 90.00 90.00 120.00°
Closest atoms and distances in Å follow each position.
Space group R-3m (No. 166, hexagonal axes)
Symmetry-distinct sites (fractional):
Co (0.0000, 0.3305, 0.0000)  5 Co 2.31-2.50
Ni (0.0000, 0.0000, 0.1611)  1 Ni 2.41, 1 Pt 2.54, 12 Co 2.60-2.67
Pt (0.0000, 0.0000, 0.5000)  2 Ni 2.54, 12 Co 2.65

***

No. 4
A plane-wave DFT calculation with GGA-PBE was carried out for a relaxed structure of NdHgAu.

Calculated values
- magnetic moment (μB per atom) = 0.0000
- D(E_F) (states/eV/cell) = 1.6
- formation energy (meV per atom) = -607
- total DFT energy (no corrections) (eV/atom) = -3.389

Cell: 4.8971 4.8971 3.5311 Å, 90.00 90.00 120.00°
Closest atoms and distances in Å follow each position.
Space group P-6m2 (No. 187)
Symmetry-distinct sites (fractional):
Nd (0.0000, 0.0000, 0.0000)  6 Hg 3.33, 6 Au 3.33, 2 Nd 3.53
Hg (0.6667, 0.3333, 0.5000)  3 Au 2.83
Au (0.3333, 0.6667, 0.5000)  3 Hg 2.83

***

No. 5
A plane-wave DFT calculation with GGA-PBE was carried out for a relaxed structure of Sm2ThO.

Calculated values
- magnetic moment (μB per atom) = 0.0000
- D(E_F) (states/eV/cell) = 3.3
- total DFT energy (no corrections) (eV/atom) = -6.275
- excess energy over the best structure of this formula in the dataset (eV/atom) = 0.301

Cell: 3.2924 3.2924 8.5370 Å, 90.00 90.00 90.00°
Closest atoms and distances in Å follow each position.
Space group P4/mmm (No. 123)
Symmetry-distinct sites (fractional):
Sm (0.0000, 0.0000, 0.1805)  4 O 2.79, 1 Sm 3.08
Th (0.5000, 0.5000, 0.5000)  4 Th 3.29, 8 Sm 3.59
O (0.5000, 0.5000, 0.0000)  8 Sm 2.79

***

No. 6
A plane-wave DFT calculation with GGA-PBE was carried out for a relaxed structure of VHgPb3.

Calculated values
- magnetic moment (μB per atom) = 0.7648
- D(E_F) (states/eV/cell) = 11.2
- formation energy (meV per atom) = 1020
- total DFT energy (no corrections) (eV/atom) = -3.090
- excess energy over the best structure of this formula in the dataset (eV/atom) = 0.753

Cell: 5.6827 5.6827 5.6827 Å, 90.00 90.00 90.00°
Closest atoms and distances in Å follow each position.
Space group Pm-3m (No. 221)
Symmetry-distinct sites (fractional):
V (0.0000, 0.0000, 0.0000)  12 Pb 4.02
Hg (0.5000, 0.5000, 0.5000)  6 Pb 2.84
Pb (0.0000, 0.5000, 0.5000)  2 Hg 2.84

***

No. 7
A plane-wave DFT calculation with GGA-PBE was carried out for a relaxed structure of Li3Ag3Ge2.

Calculated values
- magnetic moment (μB per atom) = 0.0000
- D(E_F) (states/eV/cell) = 3.2
- formation energy (meV per atom) = -164
- total DFT energy (no corrections) (eV/atom) = -3.105
- excess energy over the best structure of this formula in the dataset (eV/atom) = 0.001

Cell: 4.1838 4.2192 7.4102 Å, 90.00 90.00 90.00°
Closest atoms and distances in Å follow each position.
Space group Pmmm (No. 47)
Symmetry-distinct sites (fractional):
Li (0.0000, 0.0000, 0.0000)  4 Ge 2.79, 4 Li 2.82, 4 Ag 2.97
Li (0.0000, 0.5000, 0.2531)  6 Ag 2.78-2.81, 2 Li 2.82, 4 Ge 2.97
Ag (0.0000, 0.0000, 0.5000)  4 Li 2.79, 4 Ge 2.80, 4 Ag 2.97
Ag (0.5000, 0.5000, 0.0000)  4 Ge 2.80, 8 Li 2.81-2.97
Ag (0.5000, 0.5000, 0.5000)  4 Li 2.78, 4 Ge 2.81, 4 Ag 2.97
Ge (0.5000, 0.0000, 0.2490)  6 Li 2.79-2.97, 6 Ag 2.80-2.81

***

No. 8
A plane-wave DFT calculation with GGA-PBE was carried out for a relaxed structure of ZrSc2H.

Calculated values
- magnetic moment (μB per atom) = 0.0000
- D(E_F) (states/eV/cell) = 15.9
- total DFT energy (no corrections) (eV/atom) = -6.212
- excess energy over the best structure of this formula in the dataset (eV/atom) = 0.131

Cell: 6.4382 6.4382 7.1446 Å, 90.00 90.00 90.00°
Closest atoms and distances in Å follow each position.
Space group I-42d (No. 122)
Symmetry-distinct sites (fractional):
Zr (0.0000, 0.0000, 0.0000)  8 Sc 3.11-3.21
Sc (0.1110, 0.7500, 0.6250)  2 H 1.97
H (0.0000, 0.0000, 0.5000)  4 Sc 1.97

***

What is the formula in the fifth record?
Sm2ThO

***

Which value of magnetic moment does entry 4 give?
0.0000 μB per atom